1.
# Li2AgTeS4 (PBE, optimized geometry)
data_Li2AgTeS4
_chemical_formula_sum 'Li4 Ag2 Te2 S8'
_symmetry_space_group_name_H-M 'P 1'
_symmetry_Int_Tables_number 1
_symmetry_space_group_name_Hall 'P 1'
_cell_length_a 7.730
_cell_length_b 7.730
_cell_length_c 7.427
_cell_angle_alpha 118.71
_cell_angle_beta 118.71
_cell_angle_gamma 94.21
loop_
_atom_site_label
_atom_site_fract_x
_atom_site_fract_y
_atom_site_fract_z
Ag1 0.000 0.500 0.000
Ag2 0.000 0.500 0.500
S1 0.276 0.224 0.995
S2 0.756 0.279 0.517
S3 0.724 0.776 0.005
S4 0.276 0.224 0.505
S5 0.244 0.721 0.483
S6 0.779 0.256 0.017
S7 0.221 0.744 0.983
S8 0.724 0.776 0.495
Li1 0.500 0.500 0.000
Li2 0.000 0.000 0.500
Li3 0.500 0.000 0.500
Li4 0.500 0.000 0.000
Te1 0.000 0.000 0.000
Te2 0.500 0.500 0.500
# VASP energy in eV per atom: -3.702
# V in Å³/atom: 19.6
# Formation energy (no corrections) in meV/atom: -411
# Space group: Imma

2.
# LiAg2Te2S6 (PBE, optimized geometry)
data_LiAg2Te2S6
_chemical_formula_sum 'Li1 Ag2 Te2 S6'
_symmetry_space_group_name_H-M 'P 1'
_symmetry_Int_Tables_number 1
_symmetry_space_group_name_Hall 'P 1'
_cell_length_a 6.601
_cell_length_b 6.601
_cell_length_c 6.756
_cell_angle_alpha 99.98
_cell_angle_beta 99.98
_cell_angle_gamma 120.54
loop_
_atom_site_label
_atom_site_fract_x
_atom_site_fract_y
_atom_site_fract_z
Ag1 0.166 0.834 0.000
Ag2 0.834 0.166 0.000
S1 0.075 0.422 0.738
S2 0.578 0.925 0.262
S3 0.925 0.578 0.262
S4 0.765 0.765 0.744
S5 0.422 0.075 0.738
S6 0.235 0.235 0.256
Te1 0.335 0.665 0.500
Te2 0.665 0.335 0.500
Li1 0.000 0.000 0.500
# VASP energy in eV per atom: -3.641
# V in Å³/atom: 21.6
# Formation energy (no corrections) in meV/atom: -126
# Space group: C2/m

> VASP energy of number 2 (LiAg2Te2S6)?

-3.641 eV per atom